Computed, not measured: crystalline Sr2Sb3Pd9 at its relaxed geometry at the PBE-GGA level of DFT.

Unit cell a=8.149 b=8.149 c=10.715 alpha=112.53 beta=112.53 gamma=59.42
Positions (direct):
Sr: 0.083 0.260 0.247
Sr: 0.260 0.083 0.747
Sr: 0.740 0.917 0.253
Sr: 0.917 0.740 0.753
Sb: 0.000 0.500 0.000
Sb: 0.153 0.677 0.501
Sb: 0.323 0.847 0.999
Sb: 0.500 0.000 0.500
Sb: 0.677 0.153 0.001
Sb: 0.847 0.323 0.499
Pd: 0.024 0.862 0.080
Pd: 0.138 0.976 0.420
Pd: 0.186 0.356 0.564
Pd: 0.224 0.574 0.253
Pd: 0.324 0.492 0.974
Pd: 0.356 0.186 0.064
Pd: 0.377 0.623 0.750
Pd: 0.426 0.776 0.247
Pd: 0.492 0.324 0.474
Pd: 0.508 0.676 0.526
Pd: 0.574 0.224 0.753
Pd: 0.623 0.377 0.250
Pd: 0.644 0.814 0.936
Pd: 0.676 0.508 0.026
Pd: 0.776 0.426 0.747
Pd: 0.814 0.644 0.436
Pd: 0.862 0.024 0.580
Pd: 0.976 0.138 0.920

**Space-group type**: C2/c (15)
**Magnetic moment**: 0.0 Bohr magnetons per cell
**E_form (uncorrected)**: -0.6231 eV per atom